[1]
DFT (GGA-PBE) results for an optimized crystal structure of BaPdAu2.

a b c (Å): 7.346 7.346 7.346
angles (deg): 90.00 90.00 90.00
Space group Fm-3m (No. 225)
Asymmetric unit:
Ba 0.000 0.000 0.000 [4 per cell]
Pd 0.000 0.000 0.500 [4 per cell]
Au 0.250 0.250 0.250 [8 per cell]

Properties
energy	-3.624	eV per atom
energy above the most stable polymorph in this dataset	314	meV per atom
formation enthalpy at 0 K	-0.207	eV/atom



[2]
DFT (GGA-PBE) results for an optimized crystal structure of BaPd4Au.

a b c (Å): 7.831 7.831 7.831
angles (deg): 90.00 90.00 90.00
Space group F-43m (No. 216)
Asymmetric unit:
Ba 0.000 0.000 0.000 [4 per cell]
Pd 0.124 0.124 0.376 [16 per cell]
Au 0.250 0.250 0.750 [4 per cell]

Properties
energy	-4.541	eV per atom
energy above the most stable polymorph in this dataset	0	meV per atom
formation enthalpy at 0 K	-0.213	eV/atom



[3]
DFT (GGA-PBE) results for an optimized crystal structure of BaPd4Au8.

a b c (Å): 9.428 9.428 5.641
angles (deg): 90.00 90.00 90.00
Space group I4/mmm (No. 139)
Asymmetric unit:
Ba 0.000 0.000 0.000 [2 per cell]
Pd 0.250 0.250 0.250 [8 per cell]
Au 0.000 0.225 0.500 [8 per cell]
Au 0.000 0.346 0.000 [8 per cell]

Properties
energy	-4.005	eV per atom
formation enthalpy at 0 K	-0.243	eV/atom



[4]
DFT (GGA-PBE) results for an optimized crystal structure of Ba8Pd2Au3.

a b c (Å): 16.366 9.458 8.073
angles (deg): 90.00 109.65 90.00
Space group C2/m (No. 12)
Asymmetric unit:
Ba 0.123 0.000 0.241 [4 per cell]
Ba 0.127 0.500 0.228 [4 per cell]
Ba 0.131 0.242 0.767 [8 per cell]
Pd 0.248 0.500 0.990 [4 per cell]
Au 0.000 0.000 0.500 [2 per cell]
Au 0.000 0.251 0.000 [4 per cell]

Properties
energy	-3.262	eV per atom
formation enthalpy at 0 K	-0.523	eV/atom



[5]
DFT (GGA-PBE) results for an optimized crystal structure of Ba3Pd2Au7.

a b c (Å): 5.7918 5.7918 29.1222
angles (deg): 90.00 90.00 120.00
Space group R-3m (No. 166, hexagonal axes)
Asymmetric unit:
Ba 0.0000 0.0000 0.0000 [3 per cell]
Ba 0.0000 0.0000 0.1397 [6 per cell]
Pd 0.0000 0.0000 0.3329 [6 per cell]
Au 0.0000 0.0000 0.5000 [3 per cell]
Au 0.0008 0.5004 0.9208 [18 per cell]

Properties
energy	-3.770	eV per atom
formation enthalpy at 0 K	-0.512	eV/atom



[6]
DFT (GGA-PBE) results for an optimized crystal structure of Ba4Pd2Au.

a b c (Å): 6.358 6.358 15.133
angles (deg): 90.00 90.00 90.00
Space group I4/mmm (No. 139)
Asymmetric unit:
Ba 0.000 0.000 0.218 [4 per cell]
Ba 0.000 0.500 0.000 [4 per cell]
Pd 0.000 0.000 0.412 [4 per cell]
Au 0.000 0.000 0.000 [2 per cell]

Properties
energy	-3.379	eV per atom
energy above the most stable polymorph in this dataset	203	meV per atom
formation enthalpy at 0 K	-0.328	eV/atom



[7]
DFT (GGA-PBE) results for an optimized crystal structure of BaPd2Au10.

a b c (Å): 5.671 13.207 13.767
angles (deg): 90.00 90.00 90.00
Space group Fmmm (No. 69)
Asymmetric unit:
Ba 0.000 0.000 0.000 [4 per cell]
Pd 0.250 0.000 0.250 [8 per cell]
Au 0.000 0.110 0.386 [16 per cell]
Au 0.000 0.172 0.177 [16 per cell]
Au 0.250 0.250 0.000 [8 per cell]

Properties
energy	-3.688	eV per atom
formation enthalpy at 0 K	-0.220	eV/atom



[8]
DFT (GGA-PBE) results for an optimized crystal structure of BaPdAu2.

a b c (Å): 5.147 5.147 18.825
angles (deg): 90.00 90.00 90.00
Space group I-42d (No. 122)
Asymmetric unit:
Ba 0.000 0.000 0.000 [4 per cell]
Pd 0.000 0.000 0.500 [4 per cell]
Au 0.014 0.250 0.625 [8 per cell]

Properties
energy	-3.826	eV per atom
energy above the most stable polymorph in this dataset	112	meV per atom
formation enthalpy at 0 K	-0.409	eV/atom



[9]
DFT (GGA-PBE) results for an optimized crystal structure of BaPd6Au6.

a b c (Å): 5.476 9.437 9.453
angles (deg): 90.00 90.00 90.00
Space group Immm (No. 71)
Asymmetric unit:
Ba 0.000 0.000 0.000 [2 per cell]
Pd 0.000 0.267 0.500 [4 per cell]
Pd 0.250 0.250 0.250 [8 per cell]
Au 0.000 0.000 0.351 [4 per cell]
Au 0.000 0.345 0.000 [4 per cell]
Au 0.000 0.500 0.281 [4 per cell]

Properties
energy	-4.273	eV per atom
formation enthalpy at 0 K	-0.216	eV/atom



[10]
DFT (GGA-PBE) results for an optimized crystal structure of Ba6PdAu2.

a b c (Å): 7.943 8.567 13.742
angles (deg): 90.00 119.83 90.00
Space group P2_1/c (No. 14)
Asymmetric unit:
Ba 0.076 0.055 0.243 [4 per cell]
Ba 0.255 0.685 0.084 [4 per cell]
Ba 0.384 0.180 0.064 [4 per cell]
Pd 0.000 0.000 0.000 [2 per cell]
Au 0.328 0.113 0.776 [4 per cell]

Properties
energy	-3.070	eV per atom
energy above the most stable polymorph in this dataset	9	meV per atom
formation enthalpy at 0 K	-0.483	eV/atom



[11]
DFT (GGA-PBE) results for an optimized crystal structure of BaPd3Au2.

a b c (Å): 5.7308 5.7308 4.4652
angles (deg): 90.00 90.00 120.00
Space group P6/mmm (No. 191)
Asymmetric unit:
Ba 0.0000 0.0000 0.0000 [1 per cell]
Pd 0.0000 0.5000 0.5000 [3 per cell]
Au 0.3333 0.6667 0.0000 [2 per cell]

Properties
energy	-4.476	eV per atom
formation enthalpy at 0 K	-0.467	eV/atom



[12]
DFT (GGA-PBE) results for an optimized crystal structure of BaPrPdAu.

a b c (Å): 7.638 7.638 7.638
angles (deg): 90.00 90.00 90.00
Space group F-43m (No. 216)
Asymmetric unit:
Ba 0.000 0.000 0.000 [4 per cell]
Pr 0.000 0.000 0.500 [4 per cell]
Pd 0.250 0.250 0.750 [4 per cell]
Au 0.250 0.250 0.250 [4 per cell]

Properties
energy	-4.336	eV per atom
formation enthalpy at 0 K	-0.543	eV/atom